! CuSnIr2 | Alexandria | GGA-PBE | relaxed; values from VASP
! spin magnetization: 0.0 Bohr magnetons per cell
! volume: 61.56 Å³/f.u.
! space group: No. 123
! energy relative to the elements: 31 meV/atom
! density of states at the Fermi level: 1.21 states/eV/atom
&SYSTEM
  ibrav = 0, nat = 4, ntyp = 3
/
ATOMIC_SPECIES
Cu 63.55 Cu.upf
Sn 118.71 Sn.upf
Ir 192.22 Ir.upf
CELL_PARAMETERS angstrom
4.041 0.000 0.000
0.000 4.041 0.000
0.000 0.000 3.769
ATOMIC_POSITIONS crystal
Cu 0.000 0.000 0.000
Sn 0.500 0.500 0.000
Ir 0.000 0.500 0.500
Ir 0.500 0.000 0.500

! CaPmAsPd | Alexandria | GGA-PBE | relaxed; values from VASP
! spin magnetization: 0.0 Bohr magnetons per cell
! volume: 93.07 Å³/f.u.
! space group: No. 216
! energy relative to the elements: -917 meV/atom
! density of states at the Fermi level: 0.35 states/eV/atom
&SYSTEM
  ibrav = 0, nat = 4, ntyp = 4
/
ATOMIC_SPECIES
Ca 40.08 Ca.upf
Pm 145.00 Pm.upf
As 74.92 As.upf
Pd 106.42 Pd.upf
CELL_PARAMETERS angstrom
0.000 3.597 3.597
3.597 0.000 3.597
3.597 3.597 0.000
ATOMIC_POSITIONS crystal
Ca 0.000 0.000 0.000
Pm 0.500 0.500 0.500
As 0.750 0.750 0.750
Pd 0.250 0.250 0.250

! Sb2Te2I | Alexandria | GGA-PBE | relaxed; values from VASP
! spin magnetization: 0.0 Bohr magnetons per cell
! volume: 170.84 Å³/f.u.
! space group: No. 127
! density of states at the Fermi level: 0.53 states/eV/atom
! offset from the most stable computed form: 55 meV per atom
! formation energy from raw total energies: 0.01 eV/atom
&SYSTEM
  ibrav = 0, nat = 10, ntyp = 3
/
ATOMIC_SPECIES
Sb 121.76 Sb.upf
Te 127.60 Te.upf
I 126.90 I.upf
CELL_PARAMETERS angstrom
9.112 0.000 0.000
0.000 9.112 0.000
0.000 0.000 4.115
ATOMIC_POSITIONS crystal
Sb 0.205 0.295 0.000
Sb 0.295 0.795 0.000
Sb 0.705 0.205 0.000
Sb 0.795 0.705 0.000
Te 0.139 0.639 0.500
Te 0.361 0.139 0.500
Te 0.639 0.861 0.500
Te 0.861 0.361 0.500
I 0.000 0.000 0.000
I 0.500 0.500 0.000

! MnNb3Se | Alexandria | GGA-PBE | relaxed; values from VASP
! spin magnetization: 1.1 Bohr magnetons per cell
! volume: 103.70 Å³/f.u.
! space group: No. 221
! density of states at the Fermi level: 1.90 states/eV/atom
! offset from the most stable computed form: 448 meV per atom
! formation energy from raw total energies: 1.14 eV/atom
&SYSTEM
  ibrav = 0, nat = 5, ntyp = 3
/
ATOMIC_SPECIES
Mn 54.94 Mn.upf
Nb 92.91 Nb.upf
Se 78.96 Se.upf
CELL_PARAMETERS angstrom
4.698 0.000 0.000
0.000 4.698 0.000
0.000 0.000 4.698
ATOMIC_POSITIONS crystal
Mn 0.000 0.000 0.000
Nb 0.000 0.500 0.500
Nb 0.500 0.000 0.500
Nb 0.500 0.500 0.000
Se 0.500 0.500 0.500

! LiHoMg11 | Alexandria | GGA-PBE | relaxed; values from VASP
! spin magnetization: 0.0 Bohr magnetons per cell
! volume: 303.08 Å³/f.u.
! space group: No. 12
! energy relative to the elements: -14 meV/atom
! density of states at the Fermi level: 0.59 states/eV/atom
&SYSTEM
  ibrav = 0, nat = 13, ntyp = 3
/
ATOMIC_SPECIES
Li 6.94 Li.upf
Ho 164.93 Ho.upf
Mg 24.30 Mg.upf
CELL_PARAMETERS angstrom
2.930 -7.177 0.000
2.930 7.177 0.000
-2.828 0.000 7.206
ATOMIC_POSITIONS crystal
Li 0.000 0.000 0.000
Ho 0.500 0.500 0.500
Mg 0.000 0.500 0.500
Mg 0.006 0.798 0.286
Mg 0.151 0.499 0.149
Mg 0.202 0.994 0.714
Mg 0.499 0.151 0.149
Mg 0.500 0.000 0.500
Mg 0.500 0.500 0.000
Mg 0.501 0.849 0.851
Mg 0.798 0.006 0.286
Mg 0.849 0.501 0.851
Mg 0.994 0.202 0.714

! CsMn3Pd | Alexandria | GGA-PBE | relaxed; values from VASP
! spin magnetization: 10.1 Bohr magnetons per cell
! volume: 116.84 Å³/f.u.
! space group: No. 221
! energy relative to the elements: 2370 meV/atom
! density of states at the Fermi level: 0.63 states/eV/atom
&SYSTEM
  ibrav = 0, nat = 5, ntyp = 3
/
ATOMIC_SPECIES
Cs 132.91 Cs.upf
Mn 54.94 Mn.upf
Pd 106.42 Pd.upf
CELL_PARAMETERS angstrom
4.889 0.000 0.000
0.000 4.889 0.000
0.000 0.000 4.889
ATOMIC_POSITIONS crystal
Cs 0.000 0.000 0.000
Mn 0.000 0.000 0.500
Mn 0.000 0.500 0.000
Mn 0.500 0.000 0.000
Pd 0.500 0.500 0.500

! EuYHg | Alexandria | GGA-PBE | relaxed; values from VASP
! spin magnetization: 7.2 Bohr magnetons per cell
! volume: 93.83 Å³/f.u.
! space group: No. 156
! energy relative to the elements: -194 meV/atom
! density of states at the Fermi level: 0.76 states/eV/atom
! offset from the most stable computed form: 111 meV per atom
&SYSTEM
  ibrav = 0, nat = 3, ntyp = 3
/
ATOMIC_SPECIES
Eu 151.96 Eu.upf
Y 88.91 Y.upf
Hg 200.59 Hg.upf
CELL_PARAMETERS angstrom
5.246 0.000 0.000
-2.623 4.543 0.000
0.000 0.000 3.937
ATOMIC_POSITIONS crystal
Eu 0.000 0.000 0.000
Y 0.333 0.667 0.526
Hg 0.667 0.333 0.402

! AlInCoRu | Alexandria | GGA-PBE | relaxed; values from VASP
! spin magnetization: 0.0 Bohr magnetons per cell
! volume: 57.90 Å³/f.u.
! space group: No. 216
! energy relative to the elements: -183 meV/atom
! density of states at the Fermi level: 0.62 states/eV/atom
&SYSTEM
  ibrav = 0, nat = 4, ntyp = 4
/
ATOMIC_SPECIES
Al 26.98 Al.upf
In 114.82 In.upf
Co 58.93 Co.upf
Ru 101.07 Ru.upf
CELL_PARAMETERS angstrom
0.000 3.070 3.070
3.070 0.000 3.070
3.070 3.070 0.000
ATOMIC_POSITIONS crystal
Al 0.000 0.000 0.000
In 0.500 0.500 0.500
Co 0.250 0.250 0.250
Ru 0.750 0.750 0.750